(1)
LiScZnBi | OQMD | GGA-PBE | relaxed; energy = -14.021 eV/cell; space group = No. 216
1.0
0.000 3.469 3.469
3.469 0.000 3.469
3.469 3.469 0.000
Bi Li Sc Zn
1 1 1 1
Direct
0.000 0.000 0.000 Bi
0.750 0.750 0.750 Li
0.500 0.500 0.500 Sc
0.250 0.250 0.250 Zn

---

(2)
LiScZnBi | OQMD | GGA-PBE | relaxed; energy = -14.705 eV/cell; space group = No. 216
1.0
0.000 3.472 3.472
3.472 0.000 3.472
3.472 3.472 0.000
Bi Li Sc Zn
1 1 1 1
Direct
0.000 0.000 0.000 Bi
0.250 0.250 0.250 Li
0.750 0.750 0.750 Sc
0.500 0.500 0.500 Zn

---

What did the first record say?
LiScZnBi | OQMD | GGA-PBE | relaxed; energy = -14.021 eV/cell; space group = No. 216
1.0
0.000 3.469 3.469
3.469 0.000 3.469
3.469 3.469 0.000
Bi Li Sc Zn
1 1 1 1
Direct
0.000 0.000 0.000 Bi
0.750 0.750 0.750 Li
0.500 0.500 0.500 Sc
0.250 0.250 0.250 Zn